## a
This record from Alexandria describes an optimized crystal structure of Nd2GaCl. The functional is PBE-GGA.

The structure in extended XYZ format:
```
4
Lattice="-2.185 -0.259 -2.694 -2.427 -1.346 2.098 -2.814 7.509 1.562" Properties=species:S:1:pos:R:3 pbc="T T T"
Ga -2.306 -0.802 -0.298
Nd -2.151 5.741 1.194
Cl -3.713 2.952 0.483
Nd -0.663 1.768 0.368
```

Properties
Density (g/cm3): 6.61
Total magnetization (μB/f.u.): 0.0

## b
This record from Alexandria describes an optimized crystal structure of Nd2GaCl. The functional is PBE-GGA.

The structure in extended XYZ format:
```
16
Lattice="-3.884 -0.190 4.499 2.953 -4.593 2.355 6.883 7.635 6.264" Properties=species:S:1:pos:R:3 pbc="T T T"
Ga 1.142 0.424 6.905
Nd 3.341 4.731 5.042
Ga 8.009 2.040 8.957
Nd 2.864 2.327 8.458
Cl 1.362 -1.390 3.089
Cl 4.591 4.242 10.029
Nd 2.833 -3.693 4.261
Nd 2.612 -1.880 8.076
Cl 4.345 0.036 9.640
Ga 4.811 2.427 6.213
Nd 3.089 0.525 4.660
Cl 1.607 2.816 3.478
Nd -0.573 -1.478 5.345
Nd 3.119 6.544 8.857
Ga -2.056 0.811 4.161
Nd 6.526 4.330 7.773
```

Properties
Density (g/cm3): 6.14
Total magnetization (μB/f.u.): 0.0

a is the least stable structure shown above.